Entry 1:
! Ir2Pb PBEsol optimized geometry; values from VASP
! energy of formation	1.010	eV/atom
! DOS(E_F)	4.3	states/eV/f.u.
! M_tot	0.00	μB per formula unit
! polymorph energy (0 for the lowest one)	0.575	eV per atom
! VASP energy	-6.872	eV/atom
&SYSTEM
  ibrav = 0, nat = 3, ntyp = 2
/
ATOMIC_SPECIES
Ir 192.22 Ir.upf
Pb 207.20 Pb.upf
ATOMIC_POSITIONS crystal
Ir 0.250 0.250 0.250
Ir 0.750 0.750 0.750
Pb 0.000 0.000 0.000
CELL_PARAMETERS angstrom
0.000 3.076 3.076
3.076 0.000 3.076
3.076 3.076 0.000

Entry 2:
! Ir2Pb PBEsol optimized geometry; values from VASP
! energy of formation	0.838	eV/atom
! DOS(E_F)	5.3	states/eV/f.u.
! M_tot	0.00	μB per formula unit
! polymorph energy (0 for the lowest one)	0.403	eV per atom
! VASP energy	-7.044	eV/atom
&SYSTEM
  ibrav = 0, nat = 3, ntyp = 2
/
ATOMIC_SPECIES
Ir 192.22 Ir.upf
Pb 207.20 Pb.upf
ATOMIC_POSITIONS crystal
Ir 0.176 0.176 0.000
Ir 0.824 0.824 0.000
Pb 0.500 0.500 0.000
CELL_PARAMETERS angstrom
-1.772 1.772 4.146
1.772 -1.772 4.146
1.772 1.772 -4.146

Entry 3:
! Ir2Pb PBEsol optimized geometry; values from VASP
! energy of formation	0.435	eV/atom
! DOS(E_F)	2.1	states/eV/f.u.
! M_tot	0.00	μB per formula unit
! polymorph energy (0 for the lowest one)	0.000	eV per atom
! VASP energy	-7.447	eV/atom
&SYSTEM
  ibrav = 0, nat = 6, ntyp = 2
/
ATOMIC_SPECIES
Ir 192.22 Ir.upf
Pb 207.20 Pb.upf
ATOMIC_POSITIONS crystal
Ir 0.000 0.000 0.000
Ir 0.356 0.356 0.765
Ir 0.586 0.586 0.269
Ir 0.730 0.730 0.988
Pb 0.087 0.087 0.628
Pb 0.324 0.324 0.335
CELL_PARAMETERS angstrom
4.952 -1.429 0.000
4.952 1.429 0.000
-0.373 0.000 7.708

Entry 4:
! IrPb3 PBEsol optimized geometry; values from VASP
! energy of formation	0.250	eV/atom
! DOS(E_F)	3.9	states/eV/f.u.
! M_tot	0.22	μB per formula unit
! polymorph energy (0 for the lowest one)	0.000	eV per atom
! VASP energy	-5.205	eV/atom
&SYSTEM
  ibrav = 0, nat = 4, ntyp = 2
/
ATOMIC_SPECIES
Ir 192.22 Ir.upf
Pb 207.20 Pb.upf
ATOMIC_POSITIONS crystal
Ir 0.000 0.000 0.000
Pb 0.000 0.000 0.500
Pb 0.500 0.500 0.198
Pb 0.500 0.500 0.802
CELL_PARAMETERS angstrom
3.334 0.000 0.000
0.000 3.346 0.000
0.000 0.000 8.585

Entry 5:
! IrPb3 PBEsol optimized geometry; values from VASP
! energy of formation	0.529	eV/atom
! DOS(E_F)	2.8	states/eV/f.u.
! M_tot	0.00	μB per formula unit
! polymorph energy (0 for the lowest one)	0.279	eV per atom
! VASP energy	-4.926	eV/atom
&SYSTEM
  ibrav = 0, nat = 4, ntyp = 2
/
ATOMIC_SPECIES
Ir 192.22 Ir.upf
Pb 207.20 Pb.upf
ATOMIC_POSITIONS crystal
Ir 0.000 0.000 0.000
Pb 0.000 0.500 0.500
Pb 0.500 0.000 0.500
Pb 0.500 0.500 0.000
CELL_PARAMETERS angstrom
4.555 0.000 0.000
0.000 4.555 0.000
0.000 0.000 4.555

Entry 6:
! Ir2Pb PBEsol optimized geometry; values from VASP
! energy of formation	0.663	eV/atom
! DOS(E_F)	3.0	states/eV/f.u.
! M_tot	0.00	μB per formula unit
! polymorph energy (0 for the lowest one)	0.228	eV per atom
! VASP energy	-7.219	eV/atom
&SYSTEM
  ibrav = 0, nat = 6, ntyp = 2
/
ATOMIC_SPECIES
Ir 192.22 Ir.upf
Pb 207.20 Pb.upf
ATOMIC_POSITIONS crystal
Ir 0.296 0.546 0.750
Ir 0.454 0.704 0.750
Ir 0.546 0.296 0.250
Ir 0.704 0.454 0.250
Pb 0.125 0.875 0.250
Pb 0.875 0.125 0.750
CELL_PARAMETERS angstrom
-1.999 1.999 7.570
1.999 -1.999 7.570
1.999 1.999 -7.570

Entry 7:
! Ir2Pb PBEsol optimized geometry; values from VASP
! energy of formation	0.443	eV/atom
! DOS(E_F)	2.3	states/eV/f.u.
! M_tot	0.00	μB per formula unit
! polymorph energy (0 for the lowest one)	0.008	eV per atom
! VASP energy	-7.439	eV/atom
&SYSTEM
  ibrav = 0, nat = 6, ntyp = 2
/
ATOMIC_SPECIES
Ir 192.22 Ir.upf
Pb 207.20 Pb.upf
ATOMIC_POSITIONS crystal
Ir 0.025 0.025 0.229
Ir 0.392 0.392 0.348
Ir 0.608 0.608 0.652
Ir 0.975 0.975 0.771
Pb 0.305 0.305 0.817
Pb 0.695 0.695 0.183
CELL_PARAMETERS angstrom
6.799 -1.464 0.000
6.799 1.464 0.000
-2.466 0.000 5.385

Entry 8:
! Ir2Pb PBEsol optimized geometry; values from VASP
! energy of formation	0.716	eV/atom
! DOS(E_F)	3.2	states/eV/f.u.
! M_tot	0.00	μB per formula unit
! polymorph energy (0 for the lowest one)	0.281	eV per atom
! VASP energy	-7.166	eV/atom
&SYSTEM
  ibrav = 0, nat = 3, ntyp = 2
/
ATOMIC_SPECIES
Ir 192.22 Ir.upf
Pb 207.20 Pb.upf
ATOMIC_POSITIONS crystal
Ir 0.333 0.667 0.000
Ir 0.667 0.333 0.000
Pb 0.000 0.000 0.500
CELL_PARAMETERS angstrom
4.466 0.000 0.000
-2.233 3.868 0.000
0.000 0.000 3.077

Entry 9:
! IrPb3 PBEsol optimized geometry; values from VASP
! energy of formation	0.618	eV/atom
! DOS(E_F)	2.6	states/eV/f.u.
! M_tot	0.00	μB per formula unit
! polymorph energy (0 for the lowest one)	0.368	eV per atom
! VASP energy	-4.837	eV/atom
&SYSTEM
  ibrav = 0, nat = 4, ntyp = 2
/
ATOMIC_SPECIES
Ir 192.22 Ir.upf
Pb 207.20 Pb.upf
ATOMIC_POSITIONS crystal
Ir 0.000 0.000 0.000
Pb 0.000 0.500 0.500
Pb 0.500 0.000 0.500
Pb 0.500 0.500 0.000
CELL_PARAMETERS angstrom
5.004 2.889 1.098
-5.004 2.889 1.098
0.000 -5.778 1.098

Entry 10:
! IrPt2Pb PBEsol optimized geometry; values from VASP
! energy of formation	0.306	eV/atom
! DOS(E_F)	3.0	states/eV/f.u.
! M_tot	0.00	μB per formula unit
! VASP energy	-6.631	eV/atom
&SYSTEM
  ibrav = 0, nat = 4, ntyp = 3
/
ATOMIC_SPECIES
Ir 192.22 Ir.upf
Pt 195.08 Pt.upf
Pb 207.20 Pb.upf
ATOMIC_POSITIONS crystal
Ir 0.000 0.000 0.000
Pt 0.241 0.741 0.500
Pt 0.759 0.259 0.500
Pb 0.500 0.500 0.000
CELL_PARAMETERS angstrom
-1.440 2.397 4.863
1.440 -2.397 4.863
1.440 2.397 -4.863

Entry 11:
! IrPtPb PBEsol optimized geometry; values from VASP
! energy of formation	0.365	eV/atom
! DOS(E_F)	2.5	states/eV/f.u.
! M_tot	0.00	μB per formula unit
! polymorph energy (0 for the lowest one)	0.000	eV per atom
! VASP energy	-6.564	eV/atom
&SYSTEM
  ibrav = 0, nat = 3, ntyp = 3
/
ATOMIC_SPECIES
Ir 192.22 Ir.upf
Pt 195.08 Pt.upf
Pb 207.20 Pb.upf
ATOMIC_POSITIONS crystal
Ir 0.000 0.000 0.000
Pt 0.750 0.750 0.750
Pb 0.250 0.250 0.250
CELL_PARAMETERS angstrom
0.000 3.110 3.110
3.110 0.000 3.110
3.110 3.110 0.000

Entry 12:
! IrPtPb2 PBEsol optimized geometry; values from VASP
! energy of formation	0.403	eV/atom
! DOS(E_F)	2.9	states/eV/f.u.
! M_tot	0.00	μB per formula unit
! polymorph energy (0 for the lowest one)	0.048	eV per atom
! VASP energy	-5.793	eV/atom
&SYSTEM
  ibrav = 0, nat = 4, ntyp = 3
/
ATOMIC_SPECIES
Ir 192.22 Ir.upf
Pt 195.08 Pt.upf
Pb 207.20 Pb.upf
ATOMIC_POSITIONS crystal
Ir 0.000 0.000 0.000
Pt 0.500 0.500 0.500
Pb 0.252 0.252 0.252
Pb 0.748 0.748 0.748
CELL_PARAMETERS angstrom
1.627 0.939 8.609
-1.627 0.939 8.609
0.000 -1.878 8.609

Which value of VASP energy does entry 2 give? -7.044 eV/atom

Which value of VASP energy does entry 4 give? -5.205 eV/atom